i:
NaDySO: optimized geometry, GGA-PBE.

ρ = 4.59 g/cm3

Structure (CIF):
```
data_NaDySO
_chemical_formula_sum 'Na4 Dy4 S4 O4'
_cell_length_a 6.850
_cell_length_b 8.957
_cell_length_c 5.505
_cell_angle_alpha 90.00
_cell_angle_beta 90.00
_cell_angle_gamma 90.00
_symmetry_space_group_name_H-M 'P c a 21'
_symmetry_Int_Tables_number 29
loop_
_symmetry_equiv_pos_as_xyz
'x,y,z'
'-x,-y,z+1/2'
'-x+1/2,y,z+1/2'
'x+1/2,-y,z'
loop_
_atom_site_label
_atom_site_fract_x
_atom_site_fract_y
_atom_site_fract_z
Na1 0.116 0.072 0.000
Dy1 0.039 0.665 0.064
S1 0.067 0.637 0.566
O1 0.069 0.130 0.588
```

ii:
NaDySO: optimized geometry, GGA-PBE.

ρ = 5.17 g/cm3

Structure (CIF):
```
data_NaDySO
_chemical_formula_sum 'Na4 Dy4 S4 O4'
_cell_length_a 6.779
_cell_length_b 7.263
_cell_length_c 6.276
_cell_angle_alpha 90.00
_cell_angle_beta 103.99
_cell_angle_gamma 90.00
_symmetry_space_group_name_H-M 'P 1 21/c 1'
_symmetry_Int_Tables_number 14
loop_
_symmetry_equiv_pos_as_xyz
'x,y,z'
'-x,-y,-z'
'-x,y+1/2,-z+1/2'
'x,-y+1/2,z+1/2'
loop_
_atom_site_label
_atom_site_fract_x
_atom_site_fract_y
_atom_site_fract_z
Na1 0.087 0.249 0.496
Dy1 0.459 0.624 0.765
S1 0.217 0.585 0.333
O1 0.383 0.153 0.382
```

Stability summary: most stable ii, least stable i.